A plane-wave DFT calculation with GGA-PBE was carried out for an optimized crystal structure of CuAgSb2Se4.

E_form (uncorrected): -0.173 eV/atom
Raw total energy: -30.52 eV per cell

Lattice parameters (Å, degrees): 4.649 6.941 8.401 126.40 106.06 90.00
Fractional positions:
Cu 0.478 0.500 0.000
Ag 0.953 0.000 0.000
Sb 0.862 0.246 0.501
Sb 0.361 0.754 0.499
Se 0.580 0.566 0.757
Se 0.342 0.889 0.239
Se 0.822 0.434 0.243
Se 0.102 0.111 0.761

***

A plane-wave DFT calculation with GGA-PBE was carried out for an optimized crystal structure of YMg4Hg.

DFT formation energy: -159 meV per atom
Distance to the lowest polymorph of the same formula: 0 meV per atom
Raw total energy: -28.19 eV per cell

Lattice parameters (Å, degrees): 4.361 7.824 8.541 90.00 90.00 90.00
Fractional positions:
Y 0.000 0.618 0.750
Y 0.000 0.382 0.250
Mg 0.000 0.000 0.500
Mg 0.000 0.000 0.000
Mg 0.500 0.941 0.750
Mg 0.500 0.059 0.250
Mg 0.500 0.686 0.049
Mg 0.500 0.314 0.951
Mg 0.500 0.686 0.451
Mg 0.500 0.314 0.549
Hg 0.000 0.226 0.750
Hg 0.000 0.774 0.250

***

A plane-wave DFT calculation with GGA-PBE was carried out for an optimized crystal structure of Er8Cu2Hg.

DFT formation energy: -57 meV per atom
Raw total energy: -45.63 eV per cell

Lattice parameters (Å, degrees): 5.354 7.950 7.950 115.17 98.92 98.92
Fractional positions:
Er 0.905 0.915 0.664
Er 0.905 0.664 0.915
Er 0.306 0.612 0.612
Er 0.500 0.767 0.233
Er 0.500 0.233 0.767
Er 0.694 0.388 0.388
Er 0.095 0.336 0.085
Er 0.095 0.085 0.336
Cu 0.000 0.305 0.695
Cu 0.000 0.695 0.305
Hg 0.500 0.000 0.000

***

A plane-wave DFT calculation with GGA-PBE was carried out for an optimized crystal structure of Li2SiRh.

E_form (uncorrected): -0.383 eV/atom
Raw total energy: -18.13 eV per cell

Lattice parameters (Å, degrees): 5.134 4.210 2.784 84.27 76.69 112.52
Fractional positions:
Li 0.000 0.000 0.000
Li 0.000 0.500 0.500
Rh 0.500 0.500 0.000
Si 0.500 0.000 0.500

***

A plane-wave DFT calculation with GGA-PBE was carried out for an optimized crystal structure of Li9Ca2Ag6.

DFT formation energy: -89 meV per atom
Raw total energy: -39.84 eV per cell

Lattice parameters (Å, degrees): 5.594 5.594 13.457 90.00 90.00 120.00
Fractional positions:
Li 0.500 0.000 0.838
Li 0.000 0.500 0.838
Li 0.500 0.500 0.838
Li 0.500 0.000 0.162
Li 0.000 0.500 0.162
Li 0.500 0.500 0.162
Li 0.500 0.000 0.500
Li 0.000 0.500 0.500
Li 0.500 0.500 0.500
Ca 0.000 0.000 0.662
Ca 0.000 0.000 0.338
Ag 0.333 0.667 0.000
Ag 0.667 0.333 0.000
Ag 0.333 0.667 0.671
Ag 0.667 0.333 0.671
Ag 0.667 0.333 0.329
Ag 0.333 0.667 0.329

***

A plane-wave DFT calculation with GGA-PBE was carried out for an optimized crystal structure of Ac6Rh4Se.

E_form (uncorrected): -0.753 eV/atom
Raw total energy: -65.82 eV per cell

Lattice parameters (Å, degrees): 6.155 6.154 11.276 117.69 117.69 82.04
Fractional positions:
Ac 0.077 0.584 0.651
Ac 0.584 0.077 0.651
Ac 0.871 0.871 0.348
Ac 0.089 0.581 0.996
Ac 0.329 0.329 0.341
Ac 0.581 0.089 0.996
Rh 0.796 0.361 0.315
Rh 0.616 0.617 0.713
Rh 0.361 0.796 0.316
Rh 0.137 0.137 0.708
Se 0.057 0.057 0.964

***

A plane-wave DFT calculation with GGA-PBE was carried out for an optimized crystal structure of VSiBr2.

E_form (uncorrected): 0.563 eV/atom
Distance to the lowest polymorph of the same formula: 496 meV per atom
Raw total energy: -15.64 eV per cell

Lattice parameters (Å, degrees): 4.910 4.910 4.910 60.00 60.00 60.00
Last column: magnetic moment on the atom in μB.
Fractional positions:
Si 0.000 0.000 0.000  0.04
Br 0.250 0.250 0.250  -0.01
Br 0.750 0.750 0.750  -0.01
V 0.500 0.500 0.500  2.88

***

A plane-wave DFT calculation with GGA-PBE was carried out for an optimized crystal structure of Na3CaMo.

DFT formation energy: 1533 meV per atom
Distance to the lowest polymorph of the same formula: 422 meV per atom
Raw total energy: -9.12 eV per cell

Lattice parameters (Å, degrees): 6.177 6.177 6.177 90.00 90.00 90.00
Last column: magnetic moment on the atom in μB.
Fractional positions:
Na 0.000 0.500 0.000  -0.03
Na 0.000 0.000 0.500  -0.02
Na 0.500 0.000 0.000  -0.02
Mo 0.500 0.500 0.500  3.96
Ca 0.000 0.000 0.000  -0.07

***

A plane-wave DFT calculation with GGA-PBE was carried out for an optimized crystal structure of K4Ac3TmS8.

E_form (uncorrected): -1.870 eV/atom
Raw total energy: -84.12 eV per cell

Lattice parameters (Å, degrees): 8.654 8.943 8.654 118.94 120.00 90.00
Fractional positions:
K 0.500 0.000 0.000
K 0.500 0.000 0.500
K 0.000 0.000 0.000
K 0.000 0.000 0.500
Ac 0.500 0.500 0.000
Ac 0.500 0.500 0.500
Ac 0.000 0.500 0.500
Tm 0.000 0.500 0.000
S 0.226 0.707 0.981
S 0.226 0.707 0.451
S 0.261 0.282 0.522
S 0.756 0.707 0.981
S 0.244 0.293 0.019
S 0.739 0.718 0.478
S 0.774 0.293 0.549
S 0.774 0.293 0.019

***

A plane-wave DFT calculation with GGA-PBE was carried out for an optimized crystal structure of TaZnIr2.

DFT formation energy: -101 meV per atom
Raw total energy: -31.25 eV per cell

Lattice parameters (Å, degrees): 2.804 2.804 7.773 90.00 90.00 90.00
Fractional positions:
Ir 0.000 0.000 0.995
Ir 0.500 0.500 0.241
Ta 0.000 0.000 0.499
Zn 0.500 0.500 0.766

***

A plane-wave DFT calculation with GGA-PBE was carried out for an optimized crystal structure of LiTm3Rh4.

DFT formation energy: -781 meV per atom
Raw total energy: -101.96 eV per cell

Lattice parameters (Å, degrees): 4.659 6.573 9.317 90.00 90.00 90.00
Fractional positions:
Tm 0.000 0.000 0.000
Tm 0.000 0.000 0.500
Tm 0.500 0.000 0.750
Tm 0.500 0.000 0.250
Tm 0.500 0.500 0.750
Tm 0.500 0.500 0.250
Rh 0.500 0.746 0.000
Rh 0.500 0.746 0.500
Rh 0.500 0.254 0.000
Rh 0.500 0.254 0.500
Rh 0.000 0.746 0.750
Rh 0.000 0.746 0.250
Rh 0.000 0.254 0.250
Rh 0.000 0.254 0.750
Li 0.000 0.500 0.000
Li 0.000 0.500 0.500

***

A plane-wave DFT calculation with GGA-PBE was carried out for an optimized crystal structure of EuMnPd2.

DFT formation energy: -334 meV per atom
Distance to the lowest polymorph of the same formula: 19 meV per atom
Raw total energy: -31.16 eV per cell

Lattice parameters (Å, degrees): 3.321 3.321 6.953 90.00 90.00 90.00
Last column: magnetic moment on the atom in μB.
Fractional positions:
Eu 0.500 0.500 0.500  -6.83
Mn 0.500 0.500 0.000  4.00
Pd 0.000 0.000 0.203  0.15
Pd 0.000 0.000 0.797  0.15